20
Lattice="-7.698 4.004 -5.042 6.800 -3.495 -6.500 -3.318 -7.531 5.744" Properties=species:S:1:pos:R:3 comment="Pm12TmTh7, optimized geometry, DFT PBE" magmom_total_mub_per_fu=1.176 e_form_kj_per_mol_fu=1717 pbc="T T T"
Pm -1.459 -6.379 -2.491
Pm -3.116 -0.441 -7.917
Pm -2.757 -0.644 -3.308
Pm -1.100 -6.582 2.119
Pm -6.450 0.578 -2.663
Pm -5.059 -3.826 -2.965
Pm 2.234 -7.600 -3.136
Pm 0.843 -3.197 -2.834
Pm -1.694 -3.473 -5.838
Pm -2.522 -3.549 0.040
Pm -6.921 -4.958 0.320
Pm 2.705 -2.065 -6.119
Tm 0.000 0.000 0.000
Th -0.449 0.254 -5.771
Th 1.741 -5.513 -0.378
Th -5.508 -1.764 0.351
Th -2.108 -3.511 -2.899
Th -1.659 -3.765 2.872
Th -3.849 2.002 -2.521
Th 3.400 -1.748 -3.250



15
Lattice="1.846 -9.652 -4.651 6.724 -2.249 -5.370 4.728 -6.791 3.262" Properties=species:S:1:pos:R:3 comment="Pm10Tm4Th, optimized geometry, DFT PBE" magmom_total_mub_per_fu=0.000 e_form_kj_per_mol_fu=692 pbc="T T T"
Pm 6.188 -6.933 -2.217
Pm 7.854 -13.686 -2.214
Pm 4.076 -11.726 -3.851
Pm 9.860 -10.299 -4.516
Pm 6.653 -11.324 -7.591
Pm 5.445 -5.006 -4.546
Pm 7.111 -11.759 -4.543
Pm 6.645 -7.367 0.831
Pm 3.439 -8.392 -2.244
Pm 9.222 -6.966 -2.909
Tm 6.536 -8.372 -5.446
Tm 9.823 -13.772 -5.641
Tm 3.475 -4.919 -1.119
Tm 6.762 -10.320 -1.314
Th 0.000 0.000 0.000



11
Lattice="8.646 0.000 0.000 0.000 7.174 0.000 0.000 -3.587 6.213" Properties=species:S:1:pos:R:3 comment="Pm7Tm3Th, optimized geometry, DFT PBE" magmom_total_mub_per_fu=0.000 e_above_lowest_polymorph_mev_per_atom=2 e_form_kj_per_mol_fu=207 pbc="T T T"
Pm 0.997 -1.759 5.158
Pm 0.997 0.000 2.110
Pm 0.988 3.587 2.071
Pm 3.934 5.367 1.043
Pm 3.934 1.806 1.043
Pm 3.934 3.587 4.127
Pm 0.997 1.759 5.158
Tm 6.740 1.768 3.121
Tm 6.740 0.000 6.184
Tm 6.740 -1.768 3.121
Th 3.903 0.000 4.142



19
Lattice="-2.883 0.921 8.889 -6.532 -8.654 -6.182 8.287 0.387 2.648" Properties=species:S:1:pos:R:3 comment="Pm12Tm5Th2, optimized geometry, DFT PBE" magmom_total_mub_per_fu=0.000 e_form_kj_per_mol_fu=270 pbc="T T T"
Pm 1.031 -1.192 0.458
Pm 3.101 -5.658 -1.591
Pm 1.251 -5.067 4.114
Pm -1.876 -6.102 -1.925
Pm -3.009 -5.740 1.567
Pm -5.201 -7.090 -0.952
Pm 4.072 -0.256 6.307
Pm 0.747 -1.244 7.279
Pm 1.880 -1.606 3.788
Pm -4.230 -1.688 6.945
Pm -2.380 -2.279 1.241
Pm -2.160 -6.154 4.897
Tm 0.451 -4.632 0.626
Tm 3.719 -3.442 1.563
Tm 4.143 0.193 1.324
Tm -4.848 -3.904 3.792
Tm -1.579 -2.714 4.729
Th -1.925 0.615 5.934
Th -0.959 0.306 2.955



9
Lattice="8.954 0.912 1.895 -0.172 6.639 -2.382 4.578 -1.233 6.681" Properties=species:S:1:pos:R:3 comment="PmTm2Th6, optimized geometry, DFT PBE" magmom_total_mub_per_fu=0.000 e_form_kj_per_mol_fu=270 pbc="T T T"
Pm 0.000 0.000 0.000
Tm 5.209 1.495 3.791
Tm 8.151 4.823 2.403
Th 11.014 0.776 6.816
Th 8.679 1.949 4.805
Th 10.924 4.239 5.574
Th 2.346 5.542 -0.623
Th 4.680 4.369 1.389
Th 2.436 2.079 0.620



9
Lattice="3.553 0.000 0.000 -1.776 3.077 0.000 0.000 0.000 26.460" Properties=species:S:1:pos:R:3 comment="Pm2Tm4Th3, optimized geometry, DFT PBE" magmom_total_mub_per_fu=0.000 e_form_kj_per_mol_fu=69 pbc="T T T"
Pm 1.776 1.026 2.444
Pm 1.776 1.026 22.993
Tm 0.000 0.000 14.325
Tm 1.776 1.026 11.559
Tm 1.776 1.026 5.815
Tm 0.000 0.000 20.081
Th 0.000 0.000 25.994
Th 0.000 0.000 8.623
Th 1.776 1.026 17.216



9
Lattice="3.604 0.000 0.000 -1.802 3.121 0.000 0.000 0.000 26.914" Properties=species:S:1:pos:R:3 comment="Pm6TmTh2, optimized geometry, DFT PBE" magmom_total_mub_per_fu=0.000 e_form_kj_per_mol_fu=60 pbc="T T T"
Pm 1.802 1.040 24.066
Pm 0.000 2.081 11.740
Pm 0.000 2.081 21.022
Pm 0.000 2.081 5.891
Pm 0.000 2.081 15.174
Pm 1.802 1.040 2.848
Tm 0.000 2.081 0.000
Th 1.802 1.040 8.841
Th 1.802 1.040 18.073



11
Lattice="-2.089 -5.690 -0.739 -0.664 -3.664 4.860 -11.300 1.750 1.097" Properties=species:S:1:pos:R:3 comment="Pm3Tm6Th2, optimized geometry, DFT PBE" magmom_total_mub_per_fu=0.000 e_form_kj_per_mol_fu=224 pbc="T T T"
Pm 0.000 0.000 0.000
Pm -0.919 -3.115 1.354
Pm -1.834 -6.239 2.768
Tm -9.723 -3.529 3.750
Tm -9.992 -2.979 0.261
Tm -8.806 -0.410 2.368
Tm -3.397 -0.961 0.097
Tm -4.330 -4.075 1.468
Tm -5.247 -7.194 2.850
Th -6.439 -2.519 3.687
Th -7.614 -5.084 1.532



11
Lattice="-1.512 -4.463 -4.895 2.331 -5.345 6.615 -6.002 -1.500 2.028" Properties=species:S:1:pos:R:3 comment="Pm7TmTh3, optimized geometry, DFT PBE" magmom_total_mub_per_fu=0.000 e_form_kj_per_mol_fu=178 pbc="T T T"
Pm -1.691 -2.558 0.824
Pm -1.879 -6.694 5.427
Pm -0.156 -5.532 -0.752
Pm -5.027 -5.776 4.499
Pm -1.836 -3.422 4.321
Pm -3.304 -4.614 -1.680
Pm -3.492 -8.749 2.924
Tm -2.592 -5.654 1.874
Th -0.486 -8.934 1.221
Th -0.756 -2.232 -2.448
Th -4.697 -2.373 2.526



16
Lattice="7.201 0.965 0.000 -0.967 7.200 0.000 0.000 0.000 10.309" Properties=species:S:1:pos:R:3 comment="Pm14TmTh, optimized geometry, DFT PBE" magmom_total_mub_per_fu=0.000 e_form_kj_per_mol_fu=33 pbc="T T T"
Pm 2.095 4.863 5.154
Pm 6.179 1.745 5.154
Pm 5.697 5.343 0.000
Pm 5.696 5.345 5.154
Pm 2.581 1.262 0.000
Pm 2.579 1.262 5.154
Pm 3.664 6.917 7.767
Pm 3.664 6.917 2.542
Pm 0.527 2.808 7.767
Pm 0.527 2.808 2.542
Pm 0.040 6.431 7.768
Pm 0.040 6.431 2.541
Pm 4.151 3.293 7.766
Pm 4.151 3.293 2.543
Tm 2.096 4.862 0.000
Th 6.180 1.744 0.000



15
Lattice="-3.431 1.451 10.412 4.407 -0.856 7.444 0.068 7.184 4.893" Properties=species:S:1:pos:R:3 comment="PmTm10Th4, optimized geometry, DFT PBE" magmom_total_mub_per_fu=0.000 e_form_kj_per_mol_fu=736 pbc="T T T"
Pm 0.000 0.000 0.000
Tm 1.380 3.527 8.771
Tm -0.848 7.227 14.395
Tm -2.790 3.775 12.234
Tm 2.703 4.482 13.946
Tm -0.408 1.524 15.335
Tm 1.892 0.552 8.354
Tm -0.336 4.252 13.977
Tm 1.452 6.254 7.414
Tm -1.659 3.297 8.803
Tm 3.834 4.004 10.514
Th 1.015 2.047 11.794
Th 0.597 5.210 17.087
Th 0.447 2.569 5.662
Th 0.029 5.732 10.955



8
Lattice="13.166 3.252 1.103 -13.166 3.252 1.103 0.000 0.434 3.541" Properties=species:S:1:pos:R:3 comment="PmTmTh2, optimized geometry, DFT PBE" magmom_total_mub_per_fu=0.000 e_above_lowest_polymorph_mev_per_atom=493 e_form_kj_per_mol_fu=202 pbc="T T T"
Pm 6.583 1.626 0.551
Pm -6.583 1.843 2.322
Tm -4.068 3.578 3.759
Tm 4.068 3.361 1.988
Th -1.463 5.011 2.400
Th 1.463 1.928 3.347
Th -1.463 1.711 1.576
Th 1.463 5.228 4.171